Record 1
YScBeZn | PBE | relaxed

## Properties
- ΔH_f (0 K): -0.1423 eV per atom
- Crystal system: cubic

extended XYZ file:
```
4
Lattice="4.799 0.000 0.000 2.399 4.156 0.000 2.399 1.385 3.918" Properties=species:S:1:pos:R:3 pbc="T T T"
Sc 2.399 1.385 0.980
Y 7.198 4.156 2.939
Zn 4.799 2.771 1.959
Be 0.000 0.000 0.000
```

=====

Record 2
Tb6Sm2Er3Sc | PBE | relaxed

## Properties
- ΔH_f (0 K): 0.0252 eV per atom
- Crystal system: monoclinic

extended XYZ file:
```
12
Lattice="6.116 0.001 0.011 -3.056 5.298 0.011 -1.035 -1.793 11.533" Properties=species:S:1:pos:R:3 pbc="T T T"
Sc 0.000 0.000 0.000
Er 1.013 1.753 5.778
Tb -0.020 -0.034 8.648
Tb 3.039 1.763 8.662
Er -2.049 3.521 5.778
Sm 0.002 3.532 0.011
Tb -1.014 1.744 2.894
Tb 2.045 3.540 2.907
Tb 0.008 3.513 8.662
Er 4.074 -0.015 5.778
Sm 3.058 1.767 0.011
Tb 2.017 -0.006 2.894
```

=====

Record 3
LiMnCuSi | PBE | relaxed

## Properties
- Relative energy among the computed polymorphs: 0.000 eV/atom
- Crystal system: cubic

extended XYZ file:
```
4
Lattice="4.139 0.000 0.000 2.070 3.585 0.000 2.070 1.195 3.380" Properties=species:S:1:pos:R:3 pbc="T T T"
Si 6.209 3.585 2.535
Mn 4.139 2.390 1.690
Li 0.000 0.000 0.000
Cu 2.070 1.195 0.845
```

=====

Record 4
ReAg | PBE | relaxed

## Properties
- Relative energy among the computed polymorphs: 0.404 eV/atom
- ΔH_f (0 K): 0.6506 eV per atom
- Crystal system: hexagonal

extended XYZ file:
```
2
Lattice="-2.189 -1.655 -0.067 1.651 0.182 -2.185 2.749 -3.708 1.769" Properties=species:S:1:pos:R:3 pbc="T T T"
Ag 0.000 0.000 0.000
Re 1.746 -2.285 -0.595
```

=====

Record 5
Ho6Tm3Mg | PBE | relaxed

## Properties
- Relative energy among the computed polymorphs: 0.115 eV/atom
- ΔH_f (0 K): 0.1363 eV per atom
- Crystal system: orthorhombic

extended XYZ file:
```
20
Lattice="-1.246 7.678 4.091 -8.682 -0.625 -1.472 3.091 -3.492 7.495" Properties=species:S:1:pos:R:3 pbc="T T T"
Ho -1.352 3.430 4.448
Tm -0.430 5.985 6.181
Mg -6.729 2.810 2.688
Ho -5.107 -2.197 4.425
Ho -6.490 3.568 5.845
Tm -3.834 1.213 4.283
Ho -1.077 2.469 7.700
Ho -4.563 4.987 3.769
Tm -4.036 3.329 10.066
Ho -4.265 1.285 7.587
Tm -3.400 4.795 7.134
Mg 0.440 -2.623 5.628
Tm -6.854 0.329 5.400
Ho -2.194 -0.052 1.287
Ho 1.444 2.676 10.182
Ho -8.360 1.376 0.194
Ho -5.561 -0.126 1.764
Ho -2.321 -1.135 6.501
Ho -0.394 0.284 4.425
Tm -3.248 2.984 1.514
```

=====

Record 6
PmTl2F8 | PBE | relaxed

## Properties
- Relative energy among the computed polymorphs: 0.048 eV/atom
- Crystal system: trigonal

extended XYZ file:
```
11
Lattice="-2.564 0.265 -3.702 5.895 1.301 -3.988 -2.228 -6.802 1.055" Properties=species:S:1:pos:R:3 pbc="T T T"
Tl -0.223 -4.029 -1.641
F -1.622 -5.483 -0.693
F -0.416 -0.470 -3.818
F -1.498 -3.898 -3.482
F 2.602 -1.338 -3.154
Pm -2.228 -6.802 1.055
F 1.554 -3.388 -5.392
Tl 1.327 -1.207 -4.995
F 1.520 -4.766 -2.817
F 2.725 0.247 -5.942
F -0.450 -1.848 -1.244
```

=====

Record 7
ReAgHg2 | PBE | relaxed

## Properties
- Relative energy among the computed polymorphs: 0.328 eV/atom
- ΔH_f (0 K): 0.8916 eV per atom
- Crystal system: cubic

extended XYZ file:
```
4
Lattice="0.000 3.366 3.366 3.366 0.000 3.366 3.366 3.366 0.000" Properties=species:S:1:pos:R:3 pbc="T T T"
Ag 0.000 0.000 0.000
Hg 5.049 5.049 5.049
Hg 1.683 1.683 1.683
Re 3.366 3.366 3.366
```

=====

Record 8
Tb2Pr3Dy7 | PBE | relaxed

## Properties
- ΔH_f (0 K): 0.0852 eV per atom
- Crystal system: monoclinic

extended XYZ file:
```
12
Lattice="-1.376 -1.787 2.737 4.625 2.231 3.780 -6.731 15.399 6.668" Properties=species:S:1:pos:R:3 pbc="T T T"
Dy -3.604 13.816 7.206
Pr -1.764 5.496 2.700
Pr -0.341 12.134 7.748
Dy -2.916 7.362 5.637
Dy -1.534 1.793 2.697
Dy 0.000 0.000 0.000
Dy -1.947 14.050 10.489
Tb -0.023 5.518 5.887
Dy 1.498 3.814 3.242
Tb -3.458 10.325 7.298
Pr 1.625 0.222 3.259
Dy -0.566 8.481 7.548
```

=====

Record 9
HfGa2Mo | PBE | relaxed

## Properties
- Relative energy among the computed polymorphs: 0.234 eV/atom
- ΔH_f (0 K): -0.0909 eV per atom
- Crystal system: cubic

extended XYZ file:
```
4
Lattice="0.000 3.218 3.218 3.218 0.000 3.218 3.218 3.218 0.000" Properties=species:S:1:pos:R:3 pbc="T T T"
Mo 0.000 0.000 0.000
Ga 4.827 4.827 4.827
Ga 1.609 1.609 1.609
Hf 3.218 3.218 3.218
```

=====

Number 1: total DFT energy (no corrections) -4.5912 eV/atom. Number 2: total DFT energy (no corrections) -4.7448 eV/atom. Number 3: total DFT energy (no corrections) -5.2632 eV/atom. Number 4: total DFT energy (no corrections) -6.9990 eV/atom. Number 5: total DFT energy (no corrections) -4.1113 eV/atom. Number 6: total DFT energy (no corrections) -4.7254 eV/atom. Number 7: total DFT energy (no corrections) -3.0841 eV/atom. Number 8: total DFT energy (no corrections) -4.5659 eV/atom. Number 9: total DFT energy (no corrections) -6.8005 eV/atom.